## RbTbVF6 (PBE with a Hubbard U)

Data for a geometry-optimized RbTbVF6 structure.

Cell: 7.849 8.241 11.264 Å, 90.00 90.00 90.00°
Space group Imma (No. 74)
Symmetry-distinct sites (fractional):
Rb (0.000, 0.250, 0.051) (multiplicity 4)
Tb (0.000, 0.000, 0.500) (multiplicity 4)
V (0.250, 0.250, 0.750) (multiplicity 4)
F (0.000, 0.250, 0.425) (multiplicity 4)
F (0.000, 0.250, 0.809) (multiplicity 4)
F (0.210, 0.068, 0.618) (multiplicity 16)

E, eV/atom: -6.0205